Compound: Al2CdO
Source: the Alexandria database
Functional: PBE-GGA
Structure: optimized geometry

POSCAR file:
```
Al2CdO
1.0
8.809 0.000 -0.091
0.000 3.018 0.000
-2.319 0.000 9.573
O Cd Al
4 4 8
direct
0.919 0.500 0.157 O
0.081 0.000 0.343 O
0.919 0.000 0.657 O
0.081 0.500 0.843 O
0.420 0.000 0.841 Cd
0.420 0.500 0.341 Cd
0.580 0.000 0.159 Cd
0.580 0.500 0.659 Cd
0.059 0.500 0.647 Al
0.941 0.000 0.853 Al
0.250 0.500 0.014 Al
0.750 0.000 0.486 Al
0.059 0.000 0.147 Al
0.941 0.500 0.353 Al
0.250 0.000 0.514 Al
0.750 0.500 0.986 Al
```

Values from the calculation:
* crystal system: monoclinic
* space group: C2/m (12)
* size of the total moment: 0.000 μB per formula unit
* mass density: 4.8 g cm⁻³
* raw formation energy: -93.50 kJ/mol of atoms
* energy relative to the lowest polymorph listed for this composition: 3.09 kJ per mole of atoms
* E_tot: -4.309 eV/atom
* N(E_F): 0.1830 states/eV per atom


Compound: MgTlGa2Sb
Source: the Alexandria database
Functional: PBE-GGA
Structure: optimized geometry

POSCAR file:
```
MgTlGa2Sb
1.0
5.292 0.000 0.000
0.000 5.332 0.000
0.000 0.000 5.292
Sb Mg Ga Tl
1 1 2 1
direct
0.500 0.500 0.500 Sb
0.000 0.500 0.000 Mg
0.000 0.000 0.500 Ga
0.500 0.000 0.000 Ga
0.000 0.000 0.000 Tl
```

Values from the calculation:
* crystal system: tetragonal
* space group: P4/mmm (123)
* size of the total moment: 0.000 μB per formula unit
* mass density: 5.4 g cm⁻³
* raw formation energy: 50.97 kJ/mol of atoms
* E_tot: -2.299 eV/atom
* N(E_F): 0.7378 states/eV per atom


Compound: KNi2Mo2
Source: the Alexandria database
Functional: PBE-GGA
Structure: optimized geometry

POSCAR file:
```
KNi2Mo2
1.0
8.042 0.000 0.000
0.000 8.042 0.000
0.000 0.000 2.579
Ni K Mo
4 2 4
direct
0.166 0.334 0.000 Ni
0.666 0.166 0.000 Ni
0.334 0.834 0.000 Ni
0.834 0.666 0.000 Ni
0.500 0.500 0.000 K
0.000 0.000 0.000 K
0.382 0.118 0.500 Mo
0.882 0.382 0.500 Mo
0.118 0.618 0.500 Mo
0.618 0.882 0.500 Mo
```

Values from the calculation:
* crystal system: tetragonal
* space group: P4/mbm (127)
* size of the total moment: 0.005 μB per formula unit
* mass density: 6.9 g cm⁻³
* energy relative to the lowest polymorph listed for this composition: 0.00 kJ per mole of atoms
* E_tot: -6.287 eV/atom
* N(E_F): 1.2302 states/eV per atom


Compound: NaCdCl2F
Source: the Alexandria database
Functional: PBE-GGA
Structure: optimized geometry

POSCAR file:
```
NaCdCl2F
1.0
-2.754 -1.912 1.840
5.568 -0.899 3.424
-1.787 7.185 4.793
Cl Cd F Na
4 2 2 2
direct
0.364 0.727 0.443 Cl
0.636 0.273 0.557 Cl
0.364 0.727 0.057 Cl
0.636 0.273 0.943 Cl
0.000 0.000 0.000 Cd
0.000 0.000 0.500 Cd
0.076 0.151 0.250 F
0.924 0.849 0.750 F
0.684 0.369 0.250 Na
0.316 0.631 0.750 Na
```

Values from the calculation:
* crystal system: orthorhombic
* space group: Cmcm (63)
* size of the total moment: 0.000 μB per formula unit
* mass density: 3.5 g cm⁻³
* raw formation energy: -164.42 kJ/mol of atoms
* energy relative to the lowest polymorph listed for this composition: 0.00 kJ per mole of atoms
* E_tot: -3.264 eV/atom
* N(E_F): 0.0000 states/eV per atom


Compound: CuSiCl2
Source: the Alexandria database
Functional: PBE-GGA
Structure: optimized geometry

POSCAR file:
```
CuSiCl2
1.0
-0.273 -8.036 -2.089
3.021 -7.292 -2.593
1.906 -8.068 0.540
Cl Si Cu
2 1 1
direct
0.029 0.029 0.029 Cl
0.215 0.215 0.215 Cl
0.765 0.765 0.765 Si
0.491 0.491 0.491 Cu
```

Values from the calculation:
* crystal system: trigonal
* space group: R3m (160)
* size of the total moment: 0.000 μB per formula unit
* mass density: 3.3 g cm⁻³
* raw formation energy: -27.46 kJ/mol of atoms
* energy relative to the lowest polymorph listed for this composition: 3.14 kJ per mole of atoms
* E_tot: -3.588 eV/atom
* N(E_F): 0.5383 states/eV per atom


Compound: Pm2TlPt
Source: the Alexandria database
Functional: PBE-GGA
Structure: optimized geometry

POSCAR file:
```
Pm2TlPt
1.0
5.284 0.000 0.000
2.642 4.576 0.000
2.642 1.525 4.314
Pt Pm Tl
1 2 1
direct
0.500 0.500 0.500 Pt
0.750 0.750 0.750 Pm
0.250 0.250 0.250 Pm
0.000 0.000 0.000 Tl
```

Values from the calculation:
* crystal system: cubic
* space group: Fm-3m (225)
* size of the total moment: 0.000 μB per formula unit
* mass density: 11.0 g cm⁻³
* energy relative to the lowest polymorph listed for this composition: 10.94 kJ per mole of atoms
* E_tot: -5.096 eV/atom
* N(E_F): 0.9888 states/eV per atom


> The highest N(E_F) belongs to which entry?

KNi2Mo2


> What is the formula in the first record?

Al2CdO


> What is the N(E_F) in the sixth record?

0.9888 states/eV per atom